This record from Alexandria via LeMat-Bulk describes a relaxed structure of CaRe2As. The functional is PBE.

POSCAR file:
```
CaRe2As
1.0
3.112 0.000 0.000
0.000 3.112 0.000
0.000 0.000 7.558
Ca Re As
1 2 1
Cartesian
0.000 0.000 0.000 Ca
1.556 1.556 2.404 Re
1.556 1.556 5.154 Re
0.000 0.000 3.779 As
```

Energy relative to the elements (kJ/mol of atoms): 60.6
Space group: P4/mmm
Energy (eV per atom): -7.26